# NbVSn4, optimized geometry, DFT PBE-GGA
# ΔE_f: -0.01 eV per atom
# theoretical density: 7.80 g/cm3
# final energy: -141.1 eV for the cell shown
# N(E_F): 0.618 states/eV/atom
data_NbVSn4
_chemical_formula_sum 'Nb4 V4 Sn16'
_space_group_name_H-M_alt 'I 4/m c m'
_space_group_IT_number 140
_space_group_name_Hall '-I 4 2c'
_cell_length_a 6.821
_cell_length_b 6.821
_cell_length_c 11.318
_cell_angle_alpha 90.00
_cell_angle_beta 90.00
_cell_angle_gamma 90.00
loop_
_atom_site_label
_atom_site_type_symbol
_atom_site_fract_x
_atom_site_fract_y
_atom_site_fract_z
_atom_site_occupancy
Nb1 Nb 0.000 0.000 0.000 1
V1 V 0.000 0.000 0.250 1
Sn1 Sn 0.160 0.340 0.135 1

***

# Nb6VSn, optimized geometry, DFT PBE-GGA
# ΔE_f: -0.10 eV per atom
# offset from the most stable computed form: 0 meV per atom
# theoretical density: 8.30 g/cm3
# final energy: -223.0 eV for the cell shown
# N(E_F): 0.864 states/eV/atom
data_Nb6VSn
_chemical_formula_sum 'Nb18 V3 Sn3'
_space_group_name_H-M_alt 'R -3'
_space_group_IT_number 148
_space_group_name_Hall '-R 3'
_cell_length_a 7.4344
_cell_length_b 7.4344
_cell_length_c 9.1150
_cell_angle_alpha 90.00
_cell_angle_beta 90.00
_cell_angle_gamma 120.00
loop_
_atom_site_label
_atom_site_type_symbol
_atom_site_fract_x
_atom_site_fract_y
_atom_site_fract_z
_atom_site_occupancy
Nb1 Nb 0.0059 0.2530 0.2528 1
V1 V 0.0000 0.0000 0.5000 1
Sn1 Sn 0.0000 0.0000 0.0000 1

***

# Nb8VSn2, optimized geometry, DFT PBE-GGA
# ΔE_f: -0.01 eV per atom
# theoretical density: 8.30 g/cm3
# final energy: -195.6 eV for the cell shown
# N(E_F): 0.801 states/eV/atom
data_Nb8VSn2
_chemical_formula_sum 'Nb16 V2 Sn4'
_space_group_name_H-M_alt 'C 1 2/m 1'
_space_group_IT_number 12
_cell_length_a 14.640
_cell_length_b 4.749
_cell_length_c 6.337
_cell_angle_alpha 90.00
_cell_angle_beta 110.44
_cell_angle_gamma 90.00
loop_
_space_group_symop_operation_xyz
'x,y,z'
'-x,-y,-z'
'-x,y,-z'
'x,-y,z'
'x+1/2,y+1/2,z'
'-x+1/2,-y+1/2,-z'
'-x+1/2,y+1/2,-z'
'x+1/2,-y+1/2,z'
loop_
_atom_site_label
_atom_site_type_symbol
_atom_site_fract_x
_atom_site_fract_y
_atom_site_fract_z
_atom_site_occupancy
Nb1 Nb 0.012 0.000 0.236 1
Nb2 Nb 0.103 0.500 0.906 1
Nb3 Nb 0.150 0.500 0.395 1
Nb4 Nb 0.163 0.000 0.670 1
V1 V 0.000 0.500 0.500 1
Sn1 Sn 0.198 0.000 0.166 1